The following is a DFT calculation (meta-GGA SCAN) of a PBEsol-optimized structure of CoTcP2.

## Properties
- ΔE_f (eV/atom) = -0.0606
- M_tot (μB/cell) = 5.65
- excess energy over the best structure of this formula in the dataset (eV/atom) = 0.234

Lattice parameters (Å, degrees): 5.7346 5.7346 5.7346 90.00 90.00 90.00
Closest atoms and distances in Å follow each position.
Space group Fm-3m (No. 225)
Asymmetric unit:
Co1 0.0000 0.0000 0.0000 (multiplicity 4)  8 P 2.48
Tc1 0.0000 0.0000 0.5000 (multiplicity 4)  8 P 2.48
P1 0.2500 0.2500 0.2500 (multiplicity 8)  4 Co 2.48, 4 Tc 2.48